Tl3CuAg3O8 | PBE | relaxed

Cell: 6.9647 6.9647 6.3928 Å, 112.73 112.73 55.29°
With the nearest neighbours (Å) after each atom.
Element x y z (fractional)
Tl (0.0000, 0.0000, 0.0000)  6 O 2.34-2.36
Tl (0.0000, 0.5000, 0.0000)  6 O 2.23-2.42
Tl (0.5000, 0.0000, 0.0000)  6 O 2.23-2.42
Cu (0.5000, 0.5000, 0.0000)  4 O 1.87
Ag (0.0000, 0.5000, 0.5000)  4 O 2.26-2.33
Ag (0.5000, 0.0000, 0.5000)  4 O 2.26-2.33
Ag (0.5000, 0.5000, 0.5000)  4 O 2.35
O (0.2103, 0.2103, 0.2290)  2 Ag 2.26, 3 Tl 2.36-2.37
O (0.2363, 0.2363, 0.7498)  2 Tl 2.23, 2 Ag 2.33
O (0.2639, 0.6687, 0.1726)  1 Cu 1.87
O (0.3313, 0.7361, 0.8274)  1 Cu 1.87
O (0.6687, 0.2639, 0.1726)  1 Cu 1.87
O (0.7361, 0.3313, 0.8274)  1 Cu 1.87
O (0.7637, 0.7637, 0.2502)  2 Tl 2.23, 2 Ag 2.33
O (0.7897, 0.7897, 0.7710)  2 Ag 2.26, 3 Tl 2.36-2.37

## Properties
E_tot in eV per atom: -4.313
SG: C2/m, No. 12